# 1
Here is an optimized crystal structure of SmPaP2 from the Alexandria database. Energies are from PBE.

Cell: 7.270 7.270 7.270 Å, 31.71 31.71 31.71°
Fractional positions:
Sm (0.000, 0.000, 0.000)
Pa (0.823, 0.823, 0.823)
P (0.238, 0.238, 0.238)
P (0.415, 0.415, 0.415)

Properties
Energy relative to the elements in kJ per mole of atoms: -124.6

# 2
Here is an optimized crystal structure of SmPaP2 from the Alexandria database. Energies are from PBE.

Cell: 4.021 4.021 13.198 Å, 90.00 90.00 120.00°
Fractional positions:
Sm (0.333, 0.667, 0.250)
Sm (0.667, 0.333, 0.750)
Pa (0.000, 0.000, 0.000)
Pa (0.000, 0.000, 0.500)
P (0.333, 0.667, 0.618)
P (0.333, 0.667, 0.882)
P (0.667, 0.333, 0.118)
P (0.667, 0.333, 0.382)

Properties
Energy relative to the elements in kJ per mole of atoms: -137.0

# 3
Here is an optimized crystal structure of Sm3PaP4 from the Alexandria database. Energies are from PBE.

Cell: 7.036 7.036 4.068 Å, 90.00 90.00 109.43°
Fractional positions:
Sm (0.000, 0.000, 0.000)
Sm (0.000, 0.500, 0.500)
Sm (0.500, 0.000, 0.500)
Pa (0.500, 0.500, 0.000)
P (0.256, 0.744, 0.000)
P (0.259, 0.259, 0.500)
P (0.741, 0.741, 0.500)
P (0.744, 0.256, 0.000)

Properties
Energy relative to the elements in kJ per mole of atoms: -146.6

# 4
Here is an optimized crystal structure of Sm4PaP6 from the Alexandria database. Energies are from PBE.

Cell: 8.047 8.047 8.047 Å, 88.35 88.35 88.35°
Fractional positions:
Sm (0.126, 0.750, 0.374)
Sm (0.250, 0.250, 0.250)
Sm (0.250, 0.626, 0.874)
Sm (0.374, 0.126, 0.750)
Sm (0.626, 0.874, 0.250)
Sm (0.750, 0.374, 0.126)
Sm (0.750, 0.750, 0.750)
Sm (0.874, 0.250, 0.626)
Pa (0.000, 0.000, 0.000)
Pa (0.500, 0.500, 0.500)
P (0.072, 0.911, 0.684)
P (0.089, 0.316, 0.928)
P (0.184, 0.411, 0.572)
P (0.316, 0.928, 0.089)
P (0.411, 0.572, 0.184)
P (0.428, 0.816, 0.589)
P (0.572, 0.184, 0.411)
P (0.589, 0.428, 0.816)
P (0.684, 0.072, 0.911)
P (0.816, 0.589, 0.428)
P (0.911, 0.684, 0.072)
P (0.928, 0.089, 0.316)

Properties
Energy relative to the elements in kJ per mole of atoms: -115.0

# 5
Here is an optimized crystal structure of SmPaP from the Alexandria database. Energies are from PBE.

Cell: 6.518 6.518 6.518 Å, 148.85 148.85 44.63°
Fractional positions:
Sm (0.000, 0.000, 0.000)
Pa (0.732, 0.732, 0.000)
P (0.351, 0.351, 0.000)

Properties
Energy relative to the elements in kJ per mole of atoms: -50.6

# 6
Here is an optimized crystal structure of Sm4PaP5 from the Alexandria database. Energies are from PBE.

Cell: 7.053 7.053 7.053 Å, 99.59 99.59 131.83°
Fractional positions:
Sm (0.098, 0.698, 0.796)
Sm (0.302, 0.098, 0.400)
Sm (0.698, 0.902, 0.600)
Sm (0.902, 0.302, 0.204)
Pa (0.500, 0.500, 0.000)
P (0.000, 0.000, 0.000)
P (0.210, 0.404, 0.614)
P (0.404, 0.790, 0.194)
P (0.596, 0.210, 0.806)
P (0.790, 0.596, 0.386)

Properties
Energy relative to the elements in kJ per mole of atoms: -148.4

# 7
Here is an optimized crystal structure of SrSm2PaP4 from the Alexandria database. Energies are from PBE.

Cell: 7.139 7.139 7.139 Å, 131.91 131.91 70.37°
Fractional positions:
Sr (0.000, 0.000, 0.000)
Sm (0.500, 0.500, 0.000)
Sm (0.750, 0.250, 0.500)
Pa (0.250, 0.750, 0.500)
P (0.015, 0.515, 0.500)
P (0.256, 0.256, 0.000)
P (0.485, 0.985, 0.500)
P (0.744, 0.744, 0.000)

Properties
Energy relative to the elements in kJ per mole of atoms: -131.0

# 8
Here is an optimized crystal structure of Sr2SmPaP4 from the Alexandria database. Energies are from PBE.

Cell: 7.217 4.200 7.365 Å, 90.00 109.01 90.00°
Fractional positions:
Sr (0.000, 0.000, 0.000)
Sr (0.500, 0.500, 0.000)
Sm (0.000, 0.500, 0.500)
Pa (0.500, 0.000, 0.500)
P (0.255, 0.000, 0.720)
P (0.273, 0.500, 0.285)
P (0.727, 0.500, 0.715)
P (0.745, 0.000, 0.280)

Properties
Energy relative to the elements in kJ per mole of atoms: -125.9

- Among the records above, which one has the highest energy relative to the elements?
  SmPaP